NaZn2GeTe4 (PBE, optimized geometry); crystal system = orthorhombic; formation energy from raw total energies = -2.64 eV per formula unit
1.0
-5.5177 -0.4987 3.3106
2.1143 -5.4708 2.6932
4.2933 6.3633 1.8265
Na Zn Ge Te
1 2 1 4
direct
0.0004 0.0004 0.0008
0.7500 0.2500 0.5001
0.2500 0.7500 0.5001
0.4999 0.4999 0.9997
0.5989 0.5989 0.7258
0.4015 0.8727 0.2742
0.8727 0.4015 0.2742
0.1269 0.1269 0.7258